(1)
DFT (GGA-PBE) results for an optimized crystal structure of Ti2Cu2Re.

volume: 147.3 Å³/cell
E above lowest polymorph: 0.7204 eV/atom
D(E_F): 7.037 states/eV/f.u.
calculated formation energy: 587 meV per atom

Lattice parameters (Å, degrees): 3.6054 3.6054 11.3314 90.00 90.00 90.00
Closest atoms and distances in Å follow each position.
Positions (direct):
Ti (0.0000, 0.5000, 0.2500)  4 Cu 2.51, 4 Ti 2.55
Ti (0.0000, 0.5000, 0.7500)  4 Cu 2.51, 4 Ti 2.55
Ti (0.5000, 0.0000, 0.2500)  4 Cu 2.51, 4 Ti 2.55
Ti (0.5000, 0.0000, 0.7500)  4 Cu 2.51, 4 Ti 2.55
Cu (0.0000, 0.0000, 0.0958)  1 Cu 2.17
Cu (0.0000, 0.0000, 0.9042)  1 Cu 2.17
Cu (0.5000, 0.5000, 0.4042)  1 Cu 2.17
Cu (0.5000, 0.5000, 0.5958)  1 Cu 2.17
Re (0.0000, 0.0000, 0.5000)  8 Cu 2.77
Re (0.5000, 0.5000, 0.0000)  8 Cu 2.77



(2)
DFT (GGA-PBE) results for an optimized crystal structure of RbTiHg3.

volume: 263.7 Å³/cell
E above lowest polymorph: 0.8363 eV/atom
D(E_F): 9.430 states/eV/f.u.
calculated formation energy: 957 meV per atom

Lattice parameters (Å, degrees): 6.4124 6.4124 6.4124 90.00 90.00 90.00
Closest atoms and distances in Å follow each position.
Positions (direct):
Rb (0.0000, 0.0000, 0.0000)  6 Hg 3.21
Ti (0.5000, 0.5000, 0.5000)  12 Hg 4.53
Hg (0.0000, 0.0000, 0.5000)  2 Rb 3.21
Hg (0.0000, 0.5000, 0.0000)  2 Rb 3.21
Hg (0.5000, 0.0000, 0.0000)  2 Rb 3.21



(3)
DFT (GGA-PBE) results for an optimized crystal structure of Er3Al4Cd2.

volume: 196.1 Å³/cell
D(E_F): 5.187 states/eV/f.u.
calculated formation energy: -399 meV per atom

Lattice parameters (Å, degrees): 5.8333 5.8333 8.7886 113.85 113.85 46.94
Closest atoms and distances in Å follow each position.
Positions (direct):
Er (0.0000, 0.0000, 0.0000)  8 Al 3.13-3.28, 4 Cd 3.21, 2 Er 3.48
Er (0.3351, 0.3351, 0.3308)  8 Al 3.13-3.32, 4 Cd 3.20-3.22, 2 Er 3.47-3.48
Er (0.6649, 0.6649, 0.6692)  8 Al 3.13-3.32, 4 Cd 3.20-3.22, 2 Er 3.47-3.48
Al (0.0463, 0.0463, 0.3836)  1 Al 2.64, 2 Cd 2.71
Al (0.2661, 0.2661, 0.9372)  2 Al 2.66, 1 Cd 2.72
Al (0.7339, 0.7339, 0.0628)  2 Al 2.66, 1 Cd 2.72
Al (0.9537, 0.9537, 0.6164)  1 Al 2.64, 2 Cd 2.71
Cd (0.3847, 0.3847, 0.7194)  3 Al 2.71-2.72
Cd (0.6153, 0.6153, 0.2806)  3 Al 2.71-2.72



(4)
DFT (GGA-PBE) results for an optimized crystal structure of Dy2Al5Cu4.

volume: 192.4 Å³/cell
D(E_F): 5.543 states/eV/f.u.
calculated formation energy: -334 meV per atom

Lattice parameters (Å, degrees): 8.8425 7.9695 5.4401 80.09 62.60 37.30
Closest atoms and distances in Å follow each position.
Positions (direct):
Dy (0.1341, 0.1341, 0.8659)  6 Cu 3.04-3.37, 10 Al 3.23-3.39
Dy (0.8659, 0.8659, 0.1341)  6 Cu 3.04-3.37, 10 Al 3.23-3.39
Al (0.0000, 0.0000, 0.5000)  4 Cu 2.64, 4 Al 2.72-2.73
Al (0.2500, 0.2500, 0.2500)  4 Cu 2.43
Al (0.5000, 0.5000, 0.0000)  4 Cu 2.64, 4 Al 2.72-2.73
Al (0.5000, 0.5000, 0.5000)  4 Cu 2.41
Al (0.7500, 0.7500, 0.7500)  4 Cu 2.43
Cu (0.2238, 0.5074, 0.4926)  5 Al 2.41-2.64, 1 Cu 2.67
Cu (0.4926, 0.7762, 0.2238)  5 Al 2.41-2.64, 1 Cu 2.67
Cu (0.5074, 0.2238, 0.7762)  5 Al 2.41-2.64, 1 Cu 2.67
Cu (0.7762, 0.4926, 0.5074)  5 Al 2.41-2.64, 1 Cu 2.67



(5)
DFT (GGA-PBE) results for an optimized crystal structure of YMn2Br.

volume: 90.9 Å³/cell
E above lowest polymorph: 0.3273 eV/atom
D(E_F): 2.903 states/eV/f.u.
raw formation energy: 235 meV per atom

Lattice parameters (Å, degrees): 3.3577 3.3577 8.0619 90.00 90.00 90.00
Closest atoms and distances in Å follow each position.
Positions (direct):
Y (0.0000, 0.0000, 0.0000)  8 Mn 3.15, 4 Y 3.36
Mn (0.5000, 0.5000, 0.2570)  4 Br 3.08, 4 Y 3.15, 4 Mn 3.36
Mn (0.5000, 0.5000, 0.7430)  4 Br 3.08, 4 Y 3.15, 4 Mn 3.36
Br (0.0000, 0.0000, 0.5000)  8 Mn 3.08, 4 Br 3.36



(6)
DFT (GGA-PBE) results for an optimized crystal structure of KYPb.

volume: 468.8 Å³/cell
E above lowest polymorph: 0.1345 eV/atom
D(E_F): 2.188 states/eV/f.u.
calculated formation energy: -155 meV per atom

Lattice parameters (Å, degrees): 9.1782 5.3064 10.1009 90.00 107.63 90.00
Closest atoms and distances in Å follow each position.
Positions (direct):
K (0.2117, 0.0000, 0.1345)  3 Pb 3.60-3.61, 3 K 4.01
K (0.2883, 0.5000, 0.8655)  3 Pb 3.60-3.61, 3 K 4.01
K (0.7117, 0.5000, 0.1345)  3 Pb 3.60-3.61, 3 K 4.01
K (0.7883, 0.0000, 0.8655)  3 Pb 3.60-3.61, 3 K 4.01
Y (0.1389, 0.5000, 0.4160)  3 Pb 3.17, 3 Y 3.46-3.47
Y (0.3611, 0.0000, 0.5840)  3 Pb 3.17, 3 Y 3.46-3.47
Y (0.6389, 0.0000, 0.4160)  3 Pb 3.17, 3 Y 3.46-3.47
Y (0.8611, 0.5000, 0.5840)  3 Pb 3.17, 3 Y 3.46-3.47
Pb (0.0555, 0.0000, 0.6680)  3 Y 3.17, 1 Pb 3.23
Pb (0.4445, 0.5000, 0.3320)  3 Y 3.17, 1 Pb 3.23
Pb (0.5555, 0.5000, 0.6680)  3 Y 3.17, 1 Pb 3.23
Pb (0.9445, 0.0000, 0.3320)  3 Y 3.17, 1 Pb 3.23



(7)
DFT (GGA-PBE) results for an optimized crystal structure of PrGa2Co.

volume: 310.5 Å³/cell
D(E_F): 2.888 states/eV/f.u.
calculated formation energy: -516 meV per atom

Lattice parameters (Å, degrees): 4.1969 17.7622 4.1656 90.00 90.00 90.00
Closest atoms and distances in Å follow each position.
Positions (direct):
Pr (0.0000, 0.1425, 0.0000)  10 Ga 3.17-3.39, 4 Co 3.22
Pr (0.0000, 0.8575, 0.0000)  10 Ga 3.17-3.39, 4 Co 3.22
Pr (0.5000, 0.3575, 0.0000)  10 Ga 3.17-3.39, 4 Co 3.22
Pr (0.5000, 0.6425, 0.0000)  10 Ga 3.17-3.39, 4 Co 3.22
Ga (0.0000, 0.0000, 0.5000)  4 Co 2.45
Ga (0.0000, 0.2930, 0.5000)  1 Co 2.42, 2 Ga 2.60
Ga (0.0000, 0.5000, 0.0000)  4 Co 2.43
Ga (0.0000, 0.7070, 0.5000)  1 Co 2.42, 2 Ga 2.60
Ga (0.5000, 0.0000, 0.0000)  4 Co 2.43
Ga (0.5000, 0.2070, 0.5000)  1 Co 2.42, 2 Ga 2.60
Ga (0.5000, 0.5000, 0.5000)  4 Co 2.45
Ga (0.5000, 0.7930, 0.5000)  1 Co 2.42, 2 Ga 2.60
Co (0.0000, 0.4290, 0.5000)  5 Ga 2.42-2.45, 1 Co 2.52
Co (0.0000, 0.5710, 0.5000)  5 Ga 2.42-2.45, 1 Co 2.52
Co (0.5000, 0.0710, 0.5000)  5 Ga 2.42-2.45, 1 Co 2.52
Co (0.5000, 0.9290, 0.5000)  5 Ga 2.42-2.45, 1 Co 2.52



(8)
DFT (GGA-PBE) results for an optimized crystal structure of Cs2CuPF6.

volume: 188.4 Å³/cell
D(E_F): 0.000 states/eV/f.u.
raw formation energy: -2079 meV per atom

Lattice parameters (Å, degrees): 6.3127 6.3127 6.3127 115.28 115.28 98.38
Closest atoms and distances in Å follow each position.
Positions (direct):
Cs (0.2500, 0.7500, 0.5000)  12 F 3.19-3.38
Cs (0.7500, 0.2500, 0.5000)  12 F 3.19-3.38
Cu (0.0000, 0.0000, 0.0000)  2 F 1.88
P (0.5000, 0.5000, 0.0000)  4 F 1.91
F (0.2278, 0.2278, 0.0000)  1 Cu 1.88
F (0.3002, 0.3002, 0.6005)  1 P 1.91
F (0.3002, 0.6998, 0.0000)  1 P 1.91
F (0.6998, 0.3002, 0.0000)  1 P 1.91
F (0.6998, 0.6998, 0.3995)  1 P 1.91
F (0.7722, 0.7722, 0.0000)  1 Cu 1.88



(9)
DFT (GGA-PBE) results for an optimized crystal structure of CsNa4Tl2.

volume: 506.7 Å³/cell
D(E_F): 3.430 states/eV/f.u.
calculated formation energy: -34 meV per atom

Lattice parameters (Å, degrees): 10.7576 8.6219 6.8366 90.00 126.96 90.00
Closest atoms and distances in Å follow each position.
Positions (direct):
Cs (0.0000, 0.0000, 0.0000)  4 Na 3.65
Cs (0.5000, 0.5000, 0.0000)  4 Na 3.65
Na (0.2005, 0.2000, 0.6992)  4 Na 3.45-3.68, 4 Tl 3.50-3.59, 1 Cs 3.65
Na (0.2005, 0.8000, 0.6992)  4 Na 3.45-3.68, 4 Tl 3.50-3.59, 1 Cs 3.65
Na (0.2995, 0.3000, 0.3008)  4 Na 3.45-3.68, 4 Tl 3.50-3.59, 1 Cs 3.65
Na (0.2995, 0.7000, 0.3008)  4 Na 3.45-3.68, 4 Tl 3.50-3.59, 1 Cs 3.65
Na (0.7005, 0.3000, 0.6992)  4 Na 3.45-3.68, 4 Tl 3.50-3.59, 1 Cs 3.65
Na (0.7005, 0.7000, 0.6992)  4 Na 3.45-3.68, 4 Tl 3.50-3.59, 1 Cs 3.65
Na (0.7995, 0.2000, 0.3008)  4 Na 3.45-3.68, 4 Tl 3.50-3.59, 1 Cs 3.65
Na (0.7995, 0.8000, 0.3008)  4 Na 3.45-3.68, 4 Tl 3.50-3.59, 1 Cs 3.65
Tl (0.0034, 0.5000, 0.7532)  2 Tl 3.42, 8 Na 3.50-3.59
Tl (0.4966, 0.0000, 0.2468)  2 Tl 3.42, 8 Na 3.50-3.59
Tl (0.5034, 0.0000, 0.7532)  2 Tl 3.42, 8 Na 3.50-3.59
Tl (0.9966, 0.5000, 0.2468)  2 Tl 3.42, 8 Na 3.50-3.59



(10)
DFT (GGA-PBE) results for an optimized crystal structure of Na2AgH2.

volume: 143.2 Å³/cell
E above lowest polymorph: 0.0000 eV/atom
D(E_F): 1.164 states/eV/f.u.

Lattice parameters (Å, degrees): 6.7725 6.7725 3.1220 90.00 90.00 90.00
Closest atoms and distances in Å follow each position.
Positions (direct):
Na (0.1525, 0.3475, 0.0000)  6 H 2.39-2.62
Na (0.3475, 0.8475, 0.0000)  6 H 2.39-2.62
Na (0.6525, 0.1525, 0.0000)  6 H 2.39-2.62
Na (0.8475, 0.6525, 0.0000)  6 H 2.39-2.62
Ag (0.0000, 0.0000, 0.5000)  4 H 2.55
Ag (0.5000, 0.5000, 0.5000)  4 H 2.55
H (0.1585, 0.6585, 0.5000)  6 Na 2.39-2.62, 2 Ag 2.55
H (0.3415, 0.1585, 0.5000)  6 Na 2.39-2.62, 2 Ag 2.55
H (0.6585, 0.8415, 0.5000)  6 Na 2.39-2.62, 2 Ag 2.55
H (0.8415, 0.3415, 0.5000)  6 Na 2.39-2.62, 2 Ag 2.55



(11)
DFT (GGA-PBE) results for an optimized crystal structure of LaSiAu.

volume: 281.0 Å³/cell
D(E_F): 0.600 states/eV/f.u.
raw formation energy: -840 meV per atom

Lattice parameters (Å, degrees): 4.3739 7.6850 8.3609 90.00 90.00 90.00
Closest atoms and distances in Å follow each position.
Positions (direct):
La (0.0000, 0.0000, 0.2384)  6 Au 3.26-3.28, 6 Si 3.31-3.32
La (0.0000, 0.0000, 0.7616)  6 Au 3.26-3.28, 6 Si 3.31-3.32
La (0.5000, 0.5000, 0.2616)  6 Au 3.26-3.28, 6 Si 3.31-3.32
La (0.5000, 0.5000, 0.7384)  6 Au 3.26-3.28, 6 Si 3.31-3.32
Si (0.0000, 0.3455, 0.0000)  1 Si 2.38, 2 Au 2.51
Si (0.0000, 0.6545, 0.0000)  1 Si 2.38, 2 Au 2.51
Si (0.5000, 0.1545, 0.5000)  1 Si 2.38, 2 Au 2.51
Si (0.5000, 0.8455, 0.5000)  1 Si 2.38, 2 Au 2.51
Au (0.0000, 0.3154, 0.5000)  2 Si 2.51
Au (0.0000, 0.6846, 0.5000)  2 Si 2.51
Au (0.5000, 0.1846, 0.0000)  2 Si 2.51
Au (0.5000, 0.8154, 0.0000)  2 Si 2.51



(12)
DFT (GGA-PBE) results for an optimized crystal structure of AcCeAsO2.

volume: 204.8 Å³/cell
D(E_F): 1.774 states/eV/f.u.
raw formation energy: -2677 meV per atom

Lattice parameters (Å, degrees): 3.9821 3.9821 12.9174 90.00 90.00 90.00
Closest atoms and distances in Å follow each position.
Positions (direct):
Ac (0.0000, 0.0000, 0.0000)  4 O 2.48
Ac (0.5000, 0.5000, 0.5000)  4 O 2.48
Ce (0.0000, 0.0000, 0.7035)  4 O 2.30
Ce (0.5000, 0.5000, 0.2035)  4 O 2.30
As (0.0000, 0.0000, 0.3454)  4 Ce 3.36, 4 Ac 3.45, 4 O 3.59
As (0.5000, 0.5000, 0.8454)  4 Ce 3.36, 4 Ac 3.45, 4 O 3.59
O (0.0000, 0.5000, 0.1144)  2 Ce 2.30, 2 Ac 2.48
O (0.0000, 0.5000, 0.6144)  2 Ce 2.30, 2 Ac 2.48
O (0.5000, 0.0000, 0.1144)  2 Ce 2.30, 2 Ac 2.48
O (0.5000, 0.0000, 0.6144)  2 Ce 2.30, 2 Ac 2.48



(13)
DFT (GGA-PBE) results for an optimized crystal structure of AgHg2Pb2.

volume: 283.9 Å³/cell
E above lowest polymorph: 0.1379 eV/atom
D(E_F): 2.520 states/eV/f.u.
calculated formation energy: 186 meV per atom

Lattice parameters (Å, degrees): 4.0625 4.0625 17.1993 90.00 90.00 90.00
Closest atoms and distances in Å follow each position.
Positions (direct):
Ag (0.0000, 0.0000, 0.0000)  8 Pb 3.30
Ag (0.5000, 0.5000, 0.5000)  8 Pb 3.30
Hg (0.0000, 0.5000, 0.2500)  4 Hg 2.87
Hg (0.0000, 0.5000, 0.7500)  4 Hg 2.87
Hg (0.5000, 0.0000, 0.2500)  4 Hg 2.87
Hg (0.5000, 0.0000, 0.7500)  4 Hg 2.87
Pb (0.0000, 0.0000, 0.4058)  1 Pb 3.24, 4 Ag 3.30, 4 Hg 3.36
Pb (0.0000, 0.0000, 0.5942)  1 Pb 3.24, 4 Ag 3.30, 4 Hg 3.36
Pb (0.5000, 0.5000, 0.0942)  1 Pb 3.24, 4 Ag 3.30, 4 Hg 3.36
Pb (0.5000, 0.5000, 0.9058)  1 Pb 3.24, 4 Ag 3.30, 4 Hg 3.36



(14)
DFT (GGA-PBE) results for an optimized crystal structure of Ag2SeI.

volume: 496.7 Å³/cell
E above lowest polymorph: 0.0000 eV/atom
D(E_F): 5.062 states/eV/f.u.
raw formation energy: -55 meV per atom

Lattice parameters (Å, degrees): 6.3472 6.3472 12.3296 90.00 90.00 90.00
Closest atoms and distances in Å follow each position.
Positions (direct):
Ag (0.2065, 0.2500, 0.1250)  2 Se 2.57
Ag (0.2500, 0.7065, 0.3750)  2 Se 2.57
Ag (0.2500, 0.7935, 0.8750)  2 Se 2.57
Ag (0.2935, 0.2500, 0.6250)  2 Se 2.57
Ag (0.7065, 0.7500, 0.6250)  2 Se 2.57
Ag (0.7500, 0.2065, 0.8750)  2 Se 2.57
Ag (0.7500, 0.2935, 0.3750)  2 Se 2.57
Ag (0.7935, 0.7500, 0.1250)  2 Se 2.57
Se (0.0000, 0.0000, 0.0000)  4 Ag 2.57
Se (0.0000, 0.5000, 0.2500)  4 Ag 2.57
Se (0.5000, 0.0000, 0.7500)  4 Ag 2.57
Se (0.5000, 0.5000, 0.5000)  4 Ag 2.57
I (0.0000, 0.0000, 0.5000)  4 Ag 2.89
I (0.0000, 0.5000, 0.7500)  4 Ag 2.89
I (0.5000, 0.0000, 0.2500)  4 Ag 2.89
I (0.5000, 0.5000, 0.0000)  4 Ag 2.89



(15)
DFT (GGA-PBE) results for an optimized crystal structure of MoSCl3.

volume: 107.8 Å³/cell
E above lowest polymorph: 1.0147 eV/atom
D(E_F): 3.794 states/eV/f.u.
raw formation energy: 246 meV per atom

Lattice parameters (Å, degrees): 4.7589 4.7589 4.7589 90.00 90.00 90.00
Closest atoms and distances in Å follow each position.
Positions (direct):
Mo (0.0000, 0.0000, 0.0000)  6 Cl 2.38
S (0.5000, 0.5000, 0.5000)  12 Cl 3.37
Cl (0.0000, 0.0000, 0.5000)  2 Mo 2.38
Cl (0.0000, 0.5000, 0.0000)  2 Mo 2.38
Cl (0.5000, 0.0000, 0.0000)  2 Mo 2.38



(16)
DFT (GGA-PBE) results for an optimized crystal structure of DyCo4Os.

volume: 82.2 Å³/cell
D(E_F): 4.281 states/eV/f.u.
calculated formation energy: 38 meV per atom

Lattice parameters (Å, degrees): 4.8804 4.8804 4.8804 60.00 60.00 60.00
Closest atoms and distances in Å follow each position.
Positions (direct):
Dy (0.0000, 0.0000, 0.0000)  12 Co 2.86, 4 Os 2.99
Co (0.3750, 0.3750, 0.3750)  6 Co 2.44
Co (0.3750, 0.3750, 0.8749)  6 Co 2.44
Co (0.3750, 0.8749, 0.3750)  6 Co 2.44
Co (0.8749, 0.3750, 0.3750)  6 Co 2.44
Os (0.7500, 0.7500, 0.7500)  12 Co 2.86, 4 Dy 2.99



(17)
DFT (GGA-PBE) results for an optimized crystal structure of BaCr3Cd.

volume: 149.7 Å³/cell
E above lowest polymorph: 0.0000 eV/atom
D(E_F): 2.998 states/eV/f.u.
calculated formation energy: 1114 meV per atom

Lattice parameters (Å, degrees): 5.3101 5.3101 5.3101 90.00 90.00 90.00
Closest atoms and distances in Å follow each position.
Positions (direct):
Ba (0.0000, 0.0000, 0.0000)  12 Cr 3.75
Cr (0.0000, 0.5000, 0.5000)  2 Cd 2.66
Cr (0.5000, 0.0000, 0.5000)  2 Cd 2.66
Cr (0.5000, 0.5000, 0.0000)  2 Cd 2.66
Cd (0.5000, 0.5000, 0.5000)  6 Cr 2.66



(18)
DFT (GGA-PBE) results for an optimized crystal structure of MgTlRe2.

volume: 147.5 Å³/cell
E above lowest polymorph: 0.2724 eV/atom
D(E_F): 2.913 states/eV/f.u.
calculated formation energy: 561 meV per atom

Lattice parameters (Å, degrees): 3.1049 4.8483 9.8013 90.00 90.00 90.00
Closest atoms and distances in Å follow each position.
Positions (direct):
Mg (0.0000, 0.0000, 0.0000)  2 Re 2.78, 6 Mg 2.88-3.10
Mg (0.5000, 0.5000, 0.0000)  2 Re 2.78, 6 Mg 2.88-3.10
Tl (0.0000, 0.5000, 0.7125)  6 Tl 2.88-3.10, 2 Re 3.07, 2 Mg 3.22
Tl (0.5000, 0.0000, 0.7125)  6 Tl 2.88-3.10, 2 Re 3.07, 2 Mg 3.22
Re (0.0000, 0.0000, 0.4428)  2 Re 2.56
Re (0.0000, 0.5000, 0.2347)  2 Re 2.56, 2 Mg 2.78
Re (0.5000, 0.0000, 0.2347)  2 Re 2.56, 2 Mg 2.78
Re (0.5000, 0.5000, 0.4428)  2 Re 2.56